[1]
The following is a DFT calculation (PBE) of an optimized crystal structure of BeTcIr.

Computed properties:
ΔH_f (0 K) (eV per atom): -0.31
Total DFT energy (no corrections) (eV for the cell shown): -191.1
Size of the total moment (μB/f.u.): 0.00
Offset from the most stable computed form (eV/f.u.): 0.16
Fermi-level density of states (states/eV/f.u.): 1.522

CIF file:
```
data_BeTcIr
_space_group_name_H-M_alt 'F m m m'
_space_group_IT_number 69
_space_group_name_Hall '-F 2 2'
_cell_length_a 4.414
_cell_length_b 7.726
_cell_length_c 8.642
_cell_angle_alpha 90.00
_cell_angle_beta 90.00
_cell_angle_gamma 90.00
loop_
_atom_site_label
_atom_site_type_symbol
_atom_site_fract_x
_atom_site_fract_y
_atom_site_fract_z
Be1 Be 0.250 0.250 0.250
Tc1 Tc 0.000 0.161 0.000
Ir1 Ir 0.000 0.000 0.353
```

=====

[2]
The following is a DFT calculation (PBE) of an optimized crystal structure of Tb4CeTh2.

Computed properties:
ΔH_f (0 K) (eV per atom): 0.20
Total DFT energy (no corrections) (eV for the cell shown): -75.8
Size of the total moment (μB/f.u.): 0.49
Fermi-level density of states (states/eV/f.u.): 10.045

CIF file:
```
data_Tb4CeTh2
_space_group_name_H-M_alt 'P 1 2/m 1'
_space_group_IT_number 10
_cell_length_a 7.251
_cell_length_b 8.007
_cell_length_c 8.012
_cell_angle_alpha 90.00
_cell_angle_beta 90.09
_cell_angle_gamma 90.00
loop_
_space_group_symop_operation_xyz
'x,y,z'
'-x,-y,-z'
'-x,y,-z'
'x,-y,z'
loop_
_atom_site_label
_atom_site_type_symbol
_atom_site_fract_x
_atom_site_fract_y
_atom_site_fract_z
Tb1 Tb 0.248 0.222 0.222
Tb2 Tb 0.249 0.222 0.778
Ce1 Ce 0.000 0.000 0.500
Ce2 Ce 0.000 0.500 0.000
Th1 Th 0.000 0.500 0.500
Th2 Th 0.500 0.000 0.500
Th3 Th 0.500 0.500 0.000
Th4 Th 0.500 0.500 0.500
```

=====

[3]
The following is a DFT calculation (PBE) of an optimized crystal structure of BaVSe2.

Computed properties:
Formation energy without anion corrections (meV/atom): -688
Total DFT energy (no corrections) (eV for the cell shown): -62.3
Size of the total moment (μB/f.u.): 3.00
Offset from the most stable computed form (eV/f.u.): 1.63
Fermi-level density of states (states/eV/f.u.): 2.403

CIF file:
```
data_BaVSe2
_space_group_name_H-M_alt 'R -3 m'
_space_group_IT_number 166
_space_group_name_Hall '-R 3 2"'
_cell_length_a 5.0763
_cell_length_b 5.0763
_cell_length_c 23.4432
_cell_angle_alpha 90.00
_cell_angle_beta 90.00
_cell_angle_gamma 120.00
loop_
_atom_site_label
_atom_site_type_symbol
_atom_site_fract_x
_atom_site_fract_y
_atom_site_fract_z
Ba1 Ba 0.0000 0.0000 0.0000
V1 V 0.0000 0.0000 0.5000
Se1 Se 0.0000 0.0000 0.3990
```

=====

[4]
The following is a DFT calculation (PBE) of an optimized crystal structure of KBeBr3.

Computed properties:
Formation energy without anion corrections (meV/atom): -1304
Total DFT energy (no corrections) (eV for the cell shown): -65.4
Size of the total moment (μB/f.u.): 0.00
Offset from the most stable computed form (eV/f.u.): 0.07
Fermi-level density of states (states/eV/f.u.): 0.000

CIF file:
```
data_KBeBr3
_space_group_name_H-M_alt 'P 1 21/c 1'
_space_group_IT_number 14
_cell_length_a 7.354
_cell_length_b 8.904
_cell_length_c 12.633
_cell_angle_alpha 90.00
_cell_angle_beta 124.02
_cell_angle_gamma 90.00
loop_
_space_group_symop_operation_xyz
'x,y,z'
'-x,-y,-z'
'-x,y+1/2,-z+1/2'
'x,-y+1/2,z+1/2'
loop_
_atom_site_label
_atom_site_type_symbol
_atom_site_fract_x
_atom_site_fract_y
_atom_site_fract_z
K1 K 0.177 0.118 0.243
Be1 Be 0.197 0.663 0.096
Br1 Br 0.062 0.202 0.935
Br2 Br 0.301 0.684 0.973
Br3 Br 0.354 0.514 0.249
```